Entry 1:
A plane-wave DFT calculation with meta-GGA SCAN was carried out for a PBEsol-optimized structure of Li2MnF4.

Cell lengths 5.6397, 5.6397, 5.6397 Å; angles 110.20, 110.20, 108.03 degrees
With the nearest neighbours (Å) after each atom.
Atoms (fractional coordinates):
Li (0.2563, 0.0000, 0.2563)  6 F 1.94-2.09
Li (0.7437, 0.0000, 0.7437)  6 F 1.94-2.09
Li (0.7500, 0.5063, 0.7563)  6 F 1.94-2.09
Li (0.7500, 0.9937, 0.2437)  6 F 1.94-2.09
Mn (0.1173, 0.6173, 0.5000)  4 F 2.04-2.05
Mn (0.3673, 0.3673, 0.0000)  4 F 2.04-2.05
F (0.0412, 0.2352, 0.1940)  3 Li 1.96-2.09, 1 Mn 2.04
F (0.0412, 0.8472, 0.8060)  3 Li 1.96-2.09, 1 Mn 2.04
F (0.4633, 0.1614, 0.6982)  3 Li 1.94-2.04, 1 Mn 2.05
F (0.4633, 0.7651, 0.3018)  3 Li 1.94-2.04, 1 Mn 2.05
F (0.5151, 0.7133, 0.8018)  3 Li 1.94-2.04, 1 Mn 2.05
F (0.5972, 0.2912, 0.3060)  3 Li 1.96-2.09, 1 Mn 2.04
F (0.9114, 0.7133, 0.1982)  3 Li 1.94-2.04, 1 Mn 2.05
F (0.9852, 0.2912, 0.6940)  3 Li 1.96-2.09, 1 Mn 2.04

Output
- DOS at the Fermi energy (states/eV per cell) = 0.00
- relative energy among the computed polymorphs (meV/atom) = 0.0
- E_form (uncorrected) (eV/atom) = -3.007

Entry 2:
A plane-wave DFT calculation with meta-GGA SCAN was carried out for a PBEsol-optimized structure of Li2Mn7F16.

Cell lengths 9.2872, 9.2872, 9.2872 Å; angles 40.25, 40.25, 40.25 degrees
With the nearest neighbours (Å) after each atom.
Atoms (fractional coordinates):
Li (0.1756, 0.1756, 0.1756)  4 F 2.01-2.03
Li (0.8244, 0.8244, 0.8244)  4 F 2.01-2.03
Mn (0.0165, 0.7688, 0.3834)  6 F 2.04-2.25
Mn (0.2312, 0.6166, 0.9835)  6 F 2.04-2.25
Mn (0.3834, 0.0165, 0.7688)  6 F 2.04-2.25
Mn (0.5000, 0.5000, 0.5000)  6 F 2.13
Mn (0.6166, 0.9835, 0.2312)  6 F 2.04-2.25
Mn (0.7688, 0.3834, 0.0165)  6 F 2.04-2.25
Mn (0.9835, 0.2312, 0.6166)  6 F 2.04-2.25
F (0.0961, 0.0961, 0.0961)  1 Li 2.03, 3 Mn 2.22
F (0.0969, 0.3263, 0.6706)  3 Mn 2.05-2.25
F (0.1259, 0.6933, 0.5678)  1 Li 2.01, 2 Mn 2.05-2.13
F (0.2775, 0.2775, 0.2775)  3 Mn 2.04
F (0.3067, 0.4322, 0.8741)  1 Li 2.01, 2 Mn 2.05-2.13
F (0.3263, 0.6706, 0.0969)  3 Mn 2.05-2.25
F (0.3294, 0.9031, 0.6737)  3 Mn 2.05-2.25
F (0.4322, 0.8741, 0.3067)  1 Li 2.01, 2 Mn 2.05-2.13
F (0.5678, 0.1259, 0.6933)  1 Li 2.01, 2 Mn 2.05-2.13
F (0.6706, 0.0969, 0.3263)  3 Mn 2.05-2.25
F (0.6737, 0.3294, 0.9031)  3 Mn 2.05-2.25
F (0.6933, 0.5678, 0.1259)  1 Li 2.01, 2 Mn 2.05-2.13
F (0.7225, 0.7225, 0.7225)  3 Mn 2.04
F (0.8741, 0.3067, 0.4322)  1 Li 2.01, 2 Mn 2.05-2.13
F (0.9031, 0.6737, 0.3294)  3 Mn 2.05-2.25
F (0.9039, 0.9039, 0.9039)  1 Li 2.03, 3 Mn 2.22

Output
- DOS at the Fermi energy (states/eV per cell) = 0.00
- E_form (uncorrected) (eV/atom) = -2.870

Entry 3:
A plane-wave DFT calculation with meta-GGA SCAN was carried out for a PBEsol-optimized structure of Li2MnF6.

Cell lengths 4.5637, 4.5637, 8.7661 Å; angles 90.00, 90.00, 90.00 degrees
With the nearest neighbours (Å) after each atom.
Atoms (fractional coordinates):
Li (0.0000, 0.0000, 0.1631)  6 F 2.00-2.04
Li (0.0000, 0.0000, 0.8369)  6 F 2.00-2.04
Li (0.5000, 0.5000, 0.3369)  6 F 2.00-2.04
Li (0.5000, 0.5000, 0.6631)  6 F 2.00-2.04
Mn (0.0000, 0.0000, 0.5000)  6 F 1.81-1.82
Mn (0.5000, 0.5000, 0.0000)  6 F 1.81-1.82
F (0.1908, 0.1908, 0.3480)  1 Mn 1.81, 1 Li 2.00
F (0.1908, 0.1908, 0.6520)  1 Mn 1.81, 1 Li 2.00
F (0.2185, 0.2185, 0.0000)  1 Mn 1.82, 2 Li 2.01
F (0.2815, 0.7185, 0.5000)  1 Mn 1.82, 2 Li 2.01
F (0.3092, 0.6908, 0.1520)  1 Mn 1.81, 1 Li 2.00
F (0.3092, 0.6908, 0.8480)  1 Mn 1.81, 1 Li 2.00
F (0.6908, 0.3092, 0.1520)  1 Mn 1.81, 1 Li 2.00
F (0.6908, 0.3092, 0.8480)  1 Mn 1.81, 1 Li 2.00
F (0.7185, 0.2815, 0.5000)  1 Mn 1.82, 2 Li 2.01
F (0.7815, 0.7815, 0.0000)  1 Mn 1.82, 2 Li 2.01
F (0.8092, 0.8092, 0.3480)  1 Mn 1.81, 1 Li 2.00
F (0.8092, 0.8092, 0.6520)  1 Mn 1.81, 1 Li 2.00

Output
- DOS at the Fermi energy (states/eV per cell) = 0.00
- relative energy among the computed polymorphs (meV/atom) = 0.0
- E_form (uncorrected) (eV/atom) = -2.954

Entry 4:
A plane-wave DFT calculation with meta-GGA SCAN was carried out for a PBEsol-optimized structure of LiMnF4.

Cell lengths 9.9568, 9.9568, 9.9568 Å; angles 94.98, 94.98, 145.72 degrees
With the nearest neighbours (Å) after each atom.
Atoms (fractional coordinates):
Li (0.1273, 0.8779, 0.0014)  6 F 2.01-2.09
Li (0.3741, 0.3727, 0.2506)  6 F 2.01-2.09
Li (0.3765, 0.1259, 0.4986)  6 F 2.01-2.09
Li (0.3779, 0.8765, 0.7506)  6 F 2.01-2.09
Li (0.6221, 0.1235, 0.2494)  6 F 2.01-2.09
Li (0.6235, 0.8741, 0.5014)  6 F 2.01-2.09
Li (0.6259, 0.6273, 0.7494)  6 F 2.01-2.09
Li (0.8727, 0.1221, 0.9986)  6 F 2.01-2.09
Mn (0.1167, 0.1167, 0.7524)  4 F 1.84-1.87
Mn (0.1357, 0.3833, 0.5000)  4 F 1.84-1.87
Mn (0.1357, 0.6357, 0.2524)  4 F 1.84-1.87
Mn (0.3833, 0.6357, 0.0000)  4 F 1.84-1.87
Mn (0.6167, 0.3643, 0.0000)  4 F 1.84-1.87
Mn (0.8643, 0.3643, 0.7476)  4 F 1.84-1.87
Mn (0.8643, 0.6167, 0.5000)  4 F 1.84-1.87
Mn (0.8833, 0.8833, 0.2476)  4 F 1.84-1.87
F (0.0093, 0.6067, 0.6593)  1 Mn 1.87, 1 Li 2.05
F (0.0165, 0.1068, 0.1502)  1 Mn 1.84, 1 Li 2.01
F (0.1044, 0.7581, 0.4109)  1 Mn 1.87, 1 Li 2.04
F (0.1067, 0.9473, 0.5974)  1 Mn 1.87, 1 Li 2.05
F (0.1501, 0.4907, 0.0974)  1 Mn 1.87, 1 Li 2.05
F (0.1528, 0.3065, 0.9109)  1 Mn 1.87, 1 Li 2.04
F (0.1935, 0.6044, 0.8463)  1 Mn 1.87, 1 Li 2.04
F (0.2022, 0.1029, 0.3400)  1 Mn 1.84, 1 Li 2.01
F (0.2581, 0.3472, 0.6537)  1 Mn 1.87, 1 Li 2.04
F (0.2629, 0.8622, 0.1600)  1 Mn 1.84, 1 Li 2.01
F (0.3622, 0.7022, 0.5993)  1 Mn 1.84, 1 Li 2.01
F (0.3663, 0.5165, 0.4097)  1 Mn 1.84, 1 Li 2.01
F (0.3932, 0.0434, 0.9097)  1 Mn 1.84, 1 Li 2.01
F (0.3971, 0.2371, 0.0993)  1 Mn 1.84, 1 Li 2.01
F (0.4473, 0.3499, 0.8407)  1 Mn 1.87, 1 Li 2.05
F (0.4566, 0.8663, 0.3498)  1 Mn 1.84, 1 Li 2.01
F (0.5434, 0.1337, 0.6502)  1 Mn 1.84, 1 Li 2.01
F (0.5527, 0.6501, 0.1593)  1 Mn 1.87, 1 Li 2.05
F (0.6029, 0.7629, 0.9007)  1 Mn 1.84, 1 Li 2.01
F (0.6068, 0.9566, 0.0903)  1 Mn 1.84, 1 Li 2.01
F (0.6337, 0.4835, 0.5903)  1 Mn 1.84, 1 Li 2.01
F (0.6378, 0.2978, 0.4007)  1 Mn 1.84, 1 Li 2.01
F (0.7371, 0.1378, 0.8400)  1 Mn 1.84, 1 Li 2.01
F (0.7419, 0.6528, 0.3463)  1 Mn 1.87, 1 Li 2.04
F (0.7978, 0.8971, 0.6600)  1 Mn 1.84, 1 Li 2.01
F (0.8065, 0.3956, 0.1537)  1 Mn 1.87, 1 Li 2.04
F (0.8472, 0.6935, 0.0891)  1 Mn 1.87, 1 Li 2.04
F (0.8499, 0.5093, 0.9026)  1 Mn 1.87, 1 Li 2.05
F (0.8933, 0.0527, 0.4026)  1 Mn 1.87, 1 Li 2.05
F (0.8956, 0.2419, 0.5891)  1 Mn 1.87, 1 Li 2.04
F (0.9835, 0.8932, 0.8498)  1 Mn 1.84, 1 Li 2.01
F (0.9907, 0.3933, 0.3407)  1 Mn 1.87, 1 Li 2.05

Output
- E_form (uncorrected) (eV/atom) = -2.963

Entry 5:
A plane-wave DFT calculation with meta-GGA SCAN was carried out for a PBEsol-optimized structure of Li2MnF4.

Cell lengths 8.7685, 8.7685, 8.7685 Å; angles 21.45, 21.45, 21.45 degrees
With the nearest neighbours (Å) after each atom.
Atoms (fractional coordinates):
Li (0.2036, 0.2036, 0.2036)  4 F 1.89-1.98
Li (0.7964, 0.7964, 0.7964)  4 F 1.89-1.98
Mn (0.0000, 0.0000, 0.0000)  6 F 2.11
F (0.1265, 0.1265, 0.1265)  4 Li 1.89-1.98
F (0.3707, 0.3707, 0.3707)  3 Mn 2.11
F (0.6293, 0.6293, 0.6293)  3 Mn 2.11
F (0.8735, 0.8735, 0.8735)  4 Li 1.89-1.98

Output
- DOS at the Fermi energy (states/eV per cell) = 0.00
- relative energy among the computed polymorphs (meV/atom) = 355.0
- E_form (uncorrected) (eV/atom) = -2.652

Entry 6:
A plane-wave DFT calculation with meta-GGA SCAN was carried out for a PBEsol-optimized structure of Li2MnF4.

Cell lengths 9.1587, 2.9118, 10.0986 Å; angles 90.00, 90.00, 90.00 degrees
With the nearest neighbours (Å) after each atom.
Atoms (fractional coordinates):
Li (0.0581, 0.2500, 0.1194)  6 F 1.91-2.12
Li (0.0820, 0.2500, 0.6071)  3 F 1.88-1.99
Li (0.4180, 0.7500, 0.1071)  3 F 1.88-1.99
Li (0.4419, 0.7500, 0.6194)  6 F 1.91-2.12
Li (0.5581, 0.2500, 0.3806)  6 F 1.91-2.12
Li (0.5820, 0.2500, 0.8929)  3 F 1.88-1.99
Li (0.9180, 0.7500, 0.3929)  3 F 1.88-1.99
Li (0.9419, 0.7500, 0.8806)  6 F 1.91-2.12
Mn (0.2481, 0.7500, 0.8441)  7 F 2.15-2.19
Mn (0.2519, 0.2500, 0.3441)  7 F 2.15-2.19
Mn (0.7481, 0.7500, 0.6559)  7 F 2.15-2.19
Mn (0.7519, 0.2500, 0.1559)  7 F 2.15-2.19
F (0.0552, 0.7500, 0.7220)  3 Li 1.88-1.91
F (0.1002, 0.2500, 0.9343)  3 Li 1.91-2.12
F (0.1238, 0.7500, 0.4557)  3 Li 1.99-2.15, 2 Mn 2.18
F (0.1961, 0.7500, 0.1895)  3 Li 2.05-2.20, 2 Mn 2.19
F (0.3039, 0.2500, 0.6895)  3 Li 2.05-2.20, 2 Mn 2.19
F (0.3762, 0.2500, 0.9557)  3 Li 1.99-2.15, 2 Mn 2.18
F (0.3998, 0.7500, 0.4343)  3 Li 1.91-2.12
F (0.4448, 0.2500, 0.2220)  3 Li 1.88-1.91
F (0.5552, 0.7500, 0.7780)  3 Li 1.88-1.91
F (0.6002, 0.2500, 0.5657)  3 Li 1.91-2.12
F (0.6238, 0.7500, 0.0443)  3 Li 1.99-2.15, 2 Mn 2.18
F (0.6961, 0.7500, 0.3105)  3 Li 2.05-2.20, 2 Mn 2.19
F (0.8039, 0.2500, 0.8105)  3 Li 2.05-2.20, 2 Mn 2.19
F (0.8762, 0.2500, 0.5443)  3 Li 1.99-2.15, 2 Mn 2.18
F (0.8998, 0.7500, 0.0657)  3 Li 1.91-2.12
F (0.9448, 0.2500, 0.2780)  3 Li 1.88-1.91

Output
- DOS at the Fermi energy (states/eV per cell) = 0.00
- relative energy among the computed polymorphs (meV/atom) = 22.9
- E_form (uncorrected) (eV/atom) = -2.984

Entry 7:
A plane-wave DFT calculation with meta-GGA SCAN was carried out for a PBEsol-optimized structure of LiMnF4.

Cell lengths 6.1742, 6.1742, 4.9654 Å; angles 109.57, 109.57, 116.81 degrees
With the nearest neighbours (Å) after each atom.
Atoms (fractional coordinates):
Li (0.0912, 0.9088, 0.7500)  4 F 1.96-2.17
Li (0.9088, 0.0912, 0.2500)  4 F 1.96-2.17
Mn (0.3394, 0.6606, 0.2500)  4 F 1.83-1.88
Mn (0.6606, 0.3394, 0.7500)  4 F 1.83-1.88
F (0.0319, 0.6070, 0.2971)  1 Mn 1.88
F (0.2218, 0.3114, 0.1991)  1 Mn 1.83, 1 Li 1.96
F (0.3114, 0.2218, 0.6991)  1 Mn 1.83, 1 Li 1.96
F (0.3930, 0.9681, 0.2029)  1 Mn 1.88
F (0.6070, 0.0319, 0.7971)  1 Mn 1.88
F (0.6886, 0.7782, 0.3009)  1 Mn 1.83, 1 Li 1.96
F (0.7782, 0.6886, 0.8009)  1 Mn 1.83, 1 Li 1.96
F (0.9681, 0.3930, 0.7029)  1 Mn 1.88

Output
- DOS at the Fermi energy (states/eV per cell) = 0.00
- E_form (uncorrected) (eV/atom) = -2.902

Entry 8:
A plane-wave DFT calculation with meta-GGA SCAN was carried out for a PBEsol-optimized structure of LiMnF4.

Cell lengths 5.0617, 5.5624, 5.8811 Å; angles 64.42, 70.11, 89.12 degrees
With the nearest neighbours (Å) after each atom.
Atoms (fractional coordinates):
Li (0.0592, 0.4271, 0.2457)  4 F 1.89-2.06
Li (0.9408, 0.5729, 0.7543)  4 F 1.89-2.06
Mn (0.4546, 0.2200, 0.7444)  4 F 1.80-1.90
Mn (0.5454, 0.7800, 0.2556)  4 F 1.80-1.90
F (0.1804, 0.3322, 0.9573)  1 Mn 1.83, 1 Li 1.89
F (0.2620, 0.8554, 0.4867)  1 Mn 1.80, 1 Li 1.95
F (0.2788, 0.3691, 0.4884)  1 Mn 1.89, 1 Li 2.01
F (0.3245, 0.8115, 0.0418)  2 Mn 1.90-2.12
F (0.6755, 0.1885, 0.9582)  2 Mn 1.90-2.12
F (0.7212, 0.6309, 0.5116)  1 Mn 1.89, 1 Li 2.01
F (0.7380, 0.1446, 0.5133)  1 Mn 1.80, 1 Li 1.95
F (0.8196, 0.6678, 0.0427)  1 Mn 1.83, 1 Li 1.89

Output
- DOS at the Fermi energy (states/eV per cell) = 0.00
- E_form (uncorrected) (eV/atom) = -2.902

Entry 9:
A plane-wave DFT calculation with meta-GGA SCAN was carried out for a PBEsol-optimized structure of Li2MnF4.

Cell lengths 5.3134, 5.3134, 5.3134 Å; angles 127.21, 127.21, 77.90 degrees
With the nearest neighbours (Å) after each atom.
Atoms (fractional coordinates):
Li (0.0000, 0.0000, 0.0000)  4 F 1.84
Li (0.7500, 0.2500, 0.5000)  4 F 1.88
Mn (0.2500, 0.7500, 0.5000)  4 F 1.99
F (0.0718, 0.6375, 0.9808)  2 Li 1.84-1.88, 1 Mn 1.99
F (0.3625, 0.3433, 0.4344)  2 Li 1.84-1.88, 1 Mn 1.99
F (0.6567, 0.0911, 0.0192)  2 Li 1.84-1.88, 1 Mn 1.99
F (0.9089, 0.9282, 0.5656)  2 Li 1.84-1.88, 1 Mn 1.99

Output
- DOS at the Fermi energy (states/eV per cell) = 0.00
- relative energy among the computed polymorphs (meV/atom) = 92.0
- E_form (uncorrected) (eV/atom) = -2.915

Entry 10:
A plane-wave DFT calculation with meta-GGA SCAN was carried out for a PBEsol-optimized structure of Li2MnF6.

Cell lengths 5.2724, 5.2724, 5.2724 Å; angles 109.13, 109.13, 110.15 degrees
With the nearest neighbours (Å) after each atom.
Atoms (fractional coordinates):
Li (0.2500, 0.7500, 0.5000)  4 F 1.94
Li (0.7500, 0.2500, 0.5000)  4 F 1.94
Mn (0.0000, 0.0000, 0.0000)  6 F 1.77-1.83
F (0.0000, 0.2996, 0.2996)  1 Mn 1.83, 2 Li 1.94
F (0.0000, 0.7004, 0.7004)  1 Mn 1.83, 2 Li 1.94
F (0.2927, 0.2927, 0.0000)  1 Mn 1.77
F (0.2996, 0.0000, 0.2996)  1 Mn 1.83, 2 Li 1.94
F (0.7004, 0.0000, 0.7004)  1 Mn 1.83, 2 Li 1.94
F (0.7073, 0.7073, 0.0000)  1 Mn 1.77

Output
- DOS at the Fermi energy (states/eV per cell) = 0.00
- relative energy among the computed polymorphs (meV/atom) = 80.9
- E_form (uncorrected) (eV/atom) = -2.873

Entry 11:
A plane-wave DFT calculation with meta-GGA SCAN was carried out for a PBEsol-optimized structure of LiMnF5.

Cell lengths 5.4567, 5.6022, 6.9917 Å; angles 104.68, 102.95, 106.82 degrees
With the nearest neighbours (Å) after each atom.
Atoms (fractional coordinates):
Li (0.1905, 0.3293, 0.2294)  4 F 1.86-1.88
Li (0.8095, 0.6707, 0.7706)  4 F 1.86-1.88
Mn (0.5000, 0.0000, 0.0000)  6 F 1.79-1.87
Mn (0.5000, 0.0000, 0.5000)  6 F 1.78-1.88
F (0.1544, 0.8260, 0.9691)  1 Mn 1.79, 1 Li 1.87
F (0.2428, 0.6768, 0.3742)  1 Mn 1.79, 1 Li 1.86
F (0.2646, 0.1433, 0.4098)  1 Mn 1.78, 1 Li 1.88
F (0.3874, 0.0307, 0.7369)  2 Mn 1.87-1.88
F (0.4655, 0.3072, 0.1141)  1 Mn 1.79, 1 Li 1.88
F (0.5345, 0.6928, 0.8859)  1 Mn 1.79, 1 Li 1.88
F (0.6126, 0.9693, 0.2631)  2 Mn 1.87-1.88
F (0.7354, 0.8567, 0.5902)  1 Mn 1.78, 1 Li 1.88
F (0.7572, 0.3232, 0.6258)  1 Mn 1.79, 1 Li 1.86
F (0.8456, 0.1740, 0.0309)  1 Mn 1.79, 1 Li 1.87

Output
- DOS at the Fermi energy (states/eV per cell) = 0.00
- relative energy among the computed polymorphs (meV/atom) = 0.0
- E_form (uncorrected) (eV/atom) = -2.788

Entry 12:
A plane-wave DFT calculation with meta-GGA SCAN was carried out for a PBEsol-optimized structure of LiMnF5.

Cell lengths 6.6813, 6.9342, 3.7290 Å; angles 90.00, 90.00, 90.00 degrees
With the nearest neighbours (Å) after each atom.
Atoms (fractional coordinates):
Li (0.2500, 0.2500, 0.0332)  4 F 1.88-1.89
Li (0.7500, 0.7500, 0.9668)  4 F 1.88-1.89
Mn (0.2500, 0.7500, 0.2517)  6 F 1.78-1.87
Mn (0.7500, 0.2500, 0.7483)  6 F 1.78-1.87
F (0.0174, 0.2500, 0.7461)  1 Mn 1.79, 1 Li 1.89
F (0.2500, 0.0072, 0.2546)  1 Mn 1.78, 1 Li 1.88
F (0.2500, 0.4928, 0.2546)  1 Mn 1.78, 1 Li 1.88
F (0.2500, 0.7500, 0.7536)  2 Mn 1.86-1.87
F (0.4826, 0.2500, 0.7461)  1 Mn 1.79, 1 Li 1.89
F (0.5174, 0.7500, 0.2539)  1 Mn 1.79, 1 Li 1.89
F (0.7500, 0.2500, 0.2464)  2 Mn 1.86-1.87
F (0.7500, 0.5072, 0.7454)  1 Mn 1.78, 1 Li 1.88
F (0.7500, 0.9928, 0.7454)  1 Mn 1.78, 1 Li 1.88
F (0.9826, 0.7500, 0.2539)  1 Mn 1.79, 1 Li 1.89

Output
- relative energy among the computed polymorphs (meV/atom) = 11.1
- E_form (uncorrected) (eV/atom) = -2.777

Number 1: theoretical density 3.48 g cm⁻³. Number 2: theoretical density 3.87 g cm⁻³. Number 3: theoretical density 3.33 g cm⁻³. Number 4: theoretical density 3.45 g cm⁻³. Number 5: theoretical density 3.04 g cm⁻³. Number 6: theoretical density 3.57 g cm⁻³. Number 7: theoretical density 3.52 g cm⁻³. Number 8: theoretical density 3.30 g cm⁻³. Number 9: theoretical density 2.61 g cm⁻³. Number 10: theoretical density 2.69 g cm⁻³. Number 11: theoretical density 2.78 g cm⁻³. Number 12: theoretical density 3.02 g cm⁻³.